Version w
# PBE PNCl2, relaxed
data_PNCl2
_chemical_formula_sum 'P16 N16 Cl32'
_cell_length_a 16.4966
_cell_length_b 16.4966
_cell_length_c 6.4793
_cell_angle_alpha 90.00
_cell_angle_beta 90.00
_cell_angle_gamma 90.00
_space_group_name_H-M_alt 'P 1'
_space_group_IT_number 1
loop_
_space_group_symop_operation_xyz
'x,y,z'
loop_
_atom_site_label
_atom_site_type_symbol
_atom_site_fract_x
_atom_site_fract_y
_atom_site_fract_z
P1 P 0.8103 0.8512 0.6190
P2 P 0.8570 0.6898 0.7370
P3 P 0.3512 0.6897 0.1190
P4 P 0.1898 0.6430 0.2370
P5 P 0.1430 0.3102 0.7370
P6 P 0.3102 0.8570 0.2630
P7 P 0.1897 0.1488 0.6190
P8 P 0.8102 0.3570 0.2370
P9 P 0.6430 0.8102 0.7630
P10 P 0.1488 0.8103 0.3810
P11 P 0.8512 0.1897 0.3810
P12 P 0.6897 0.6488 0.8810
P13 P 0.6488 0.3103 0.1190
P14 P 0.6898 0.1430 0.2630
P15 P 0.3570 0.1898 0.7630
P16 P 0.3103 0.3512 0.8810
N1 N 0.2715 0.6364 0.1105
N2 N 0.8636 0.7715 0.6105
N3 N 0.7277 0.8530 0.7397
N4 N 0.1364 0.2285 0.6105
N5 N 0.7723 0.6470 0.7603
N6 N 0.2277 0.3530 0.7603
N7 N 0.6470 0.2277 0.2397
N8 N 0.3530 0.7723 0.2397
N9 N 0.1470 0.7277 0.2603
N10 N 0.8530 0.2723 0.2603
N11 N 0.7715 0.1364 0.3895
N12 N 0.3636 0.2715 0.8895
N13 N 0.6364 0.7285 0.8895
N14 N 0.7285 0.3636 0.1105
N15 N 0.2285 0.8636 0.3895
N16 N 0.2723 0.1470 0.7397
Cl1 Cl 0.0588 0.8780 0.2590
Cl2 Cl 0.6220 0.5588 0.7590
Cl3 Cl 0.5695 0.8885 0.9095
Cl4 Cl 0.9108 0.7026 0.0169
Cl5 Cl 0.9412 0.1220 0.2590
Cl6 Cl 0.0695 0.3885 0.5905
Cl7 Cl 0.7026 0.0892 0.9831
Cl8 Cl 0.3885 0.9305 0.4095
Cl9 Cl 0.1115 0.5695 0.0905
Cl10 Cl 0.4412 0.6220 0.2410
Cl11 Cl 0.7043 0.6125 0.1761
Cl12 Cl 0.8885 0.4305 0.0905
Cl13 Cl 0.2026 0.5892 0.5169
Cl14 Cl 0.9305 0.6115 0.5905
Cl15 Cl 0.2974 0.9108 0.9831
Cl16 Cl 0.5588 0.3780 0.2410
Cl17 Cl 0.4108 0.2026 0.4831
Cl18 Cl 0.1125 0.7957 0.6761
Cl19 Cl 0.0892 0.2974 0.0169
Cl20 Cl 0.2957 0.3875 0.1761
Cl21 Cl 0.7957 0.8875 0.3239
Cl22 Cl 0.4305 0.1115 0.9095
Cl23 Cl 0.3875 0.7043 0.8239
Cl24 Cl 0.8875 0.2043 0.6761
Cl25 Cl 0.1220 0.0588 0.7410
Cl26 Cl 0.3780 0.4412 0.7590
Cl27 Cl 0.2043 0.1125 0.3239
Cl28 Cl 0.5892 0.7974 0.4831
Cl29 Cl 0.6125 0.2957 0.8239
Cl30 Cl 0.8780 0.9412 0.7410
Cl31 Cl 0.6115 0.0695 0.4095
Cl32 Cl 0.7974 0.4108 0.5169
# Magnetization ... 0.0 μB per cell



Version x
# PBE PNCl2, relaxed
data_PNCl2
_chemical_formula_sum 'P1 N1 Cl2'
_cell_length_a 4.5151
_cell_length_b 4.5151
_cell_length_c 4.5151
_cell_angle_alpha 60.00
_cell_angle_beta 60.00
_cell_angle_gamma 60.00
_space_group_name_H-M_alt 'P 1'
_space_group_IT_number 1
loop_
_space_group_symop_operation_xyz
'x,y,z'
loop_
_atom_site_label
_atom_site_type_symbol
_atom_site_fract_x
_atom_site_fract_y
_atom_site_fract_z
P1 P 0.5000 0.5000 0.5000
N1 N 0.0000 0.0000 0.0000
Cl1 Cl 0.2500 0.2500 0.2500
Cl2 Cl 0.7500 0.7500 0.7500
# Magnetization ... 2.0 μB per cell



Version y
# PBE PNCl2, relaxed
data_PNCl2
_chemical_formula_sum 'P1 N1 Cl2'
_cell_length_a 9.3947
_cell_length_b 9.3947
_cell_length_c 9.3947
_cell_angle_alpha 20.70
_cell_angle_beta 20.70
_cell_angle_gamma 20.70
_space_group_name_H-M_alt 'P 1'
_space_group_IT_number 1
loop_
_space_group_symop_operation_xyz
'x,y,z'
loop_
_atom_site_label
_atom_site_type_symbol
_atom_site_fract_x
_atom_site_fract_y
_atom_site_fract_z
P1 P 0.0000 0.0000 0.0000
N1 N 0.5000 0.5000 0.5000
Cl1 Cl 0.9226 0.9226 0.9226
Cl2 Cl 0.0774 0.0774 0.0774
# Magnetization ... 2.8 μB per cell



Which of them is least stable? Easy: version x.



Version w
# PBE PNCl2, relaxed
data_PNCl2
_chemical_formula_sum 'P8 N8 Cl16'
_cell_length_a 11.7193
_cell_length_b 11.7193
_cell_length_c 6.4384
_cell_angle_alpha 90.00
_cell_angle_beta 90.00
_cell_angle_gamma 90.00
_space_group_name_H-M_alt 'P 1'
_space_group_IT_number 1
loop_
_space_group_symop_operation_xyz
'x,y,z'
loop_
_atom_site_label
_atom_site_type_symbol
_atom_site_fract_x
_atom_site_fract_y
_atom_site_fract_z
Cl1 Cl 0.0941 0.2039 0.1629
Cl2 Cl 0.9059 0.7961 0.1629
Cl3 Cl 0.2961 0.5941 0.6629
Cl4 Cl 0.7039 0.4059 0.6629
Cl5 Cl 0.4059 0.2961 0.3371
Cl6 Cl 0.5941 0.7039 0.3371
Cl7 Cl 0.2039 0.9059 0.8371
Cl8 Cl 0.7961 0.0941 0.8371
Cl9 Cl 0.0468 0.3191 0.5973
Cl10 Cl 0.9532 0.6809 0.5973
Cl11 Cl 0.1809 0.5468 0.0973
Cl12 Cl 0.8191 0.4532 0.0973
Cl13 Cl 0.4532 0.1809 0.9027
Cl14 Cl 0.5468 0.8191 0.9027
Cl15 Cl 0.3191 0.9532 0.4027
Cl16 Cl 0.6809 0.0468 0.4027
N1 N 0.1287 0.0888 0.5725
N2 N 0.8713 0.9112 0.5725
N3 N 0.4112 0.6287 0.0725
N4 N 0.5888 0.3713 0.0725
N5 N 0.3713 0.4112 0.9275
N6 N 0.6287 0.5888 0.9275
N7 N 0.0888 0.8713 0.4275
N8 N 0.9112 0.1287 0.4275
P1 P 0.0401 0.1664 0.4527
P2 P 0.9599 0.8336 0.4527
P3 P 0.3336 0.5401 0.9527
P4 P 0.6664 0.4599 0.9527
P5 P 0.4599 0.3336 0.0473
P6 P 0.5401 0.6664 0.0473
P7 P 0.1664 0.9599 0.5473
P8 P 0.8336 0.0401 0.5473
# Magnetization ... 0.0 μB per cell



Version x
# PBE PNCl2, relaxed
data_PNCl2
_chemical_formula_sum 'P2 N2 Cl4'
_cell_length_a 6.1887
_cell_length_b 6.1887
_cell_length_c 6.3688
_cell_angle_alpha 60.93
_cell_angle_beta 60.93
_cell_angle_gamma 90.00
_space_group_name_H-M_alt 'P 1'
_space_group_IT_number 1
loop_
_space_group_symop_operation_xyz
'x,y,z'
loop_
_atom_site_label
_atom_site_type_symbol
_atom_site_fract_x
_atom_site_fract_y
_atom_site_fract_z
P1 P 0.0000 0.0000 0.0000
P2 P 0.7500 0.2500 0.5000
N1 N 0.5000 0.5000 0.0000
N2 N 0.2500 0.7500 0.5000
Cl1 Cl 0.3750 0.1250 0.2500
Cl2 Cl 0.3750 0.6250 0.2500
Cl3 Cl 0.3750 0.6250 0.7500
Cl4 Cl 0.8750 0.6250 0.7500
# Magnetization ... 0.9 μB per cell



Which of them is least stable? Easy: version x.



Version w
# PBE PNCl2, relaxed
data_PNCl2
_chemical_formula_sum 'P1 N1 Cl2'
_cell_length_a 8.0313
_cell_length_b 8.0313
_cell_length_c 8.0313
_cell_angle_alpha 23.69
_cell_angle_beta 23.69
_cell_angle_gamma 23.69
_space_group_name_H-M_alt 'P 1'
_space_group_IT_number 1
loop_
_space_group_symop_operation_xyz
'x,y,z'
loop_
_atom_site_label
_atom_site_type_symbol
_atom_site_fract_x
_atom_site_fract_y
_atom_site_fract_z
P1 P 0.5000 0.5000 0.5000
N1 N 0.0000 0.0000 0.0000
Cl1 Cl 0.9154 0.9154 0.9154
Cl2 Cl 0.0846 0.0846 0.0846
# Magnetization ... 1.4 μB per cell



Version x
# PBE PNCl2, relaxed
data_PNCl2
_chemical_formula_sum 'P12 N12 Cl24'
_cell_length_a 6.6467
_cell_length_b 13.8441
_cell_length_c 15.0055
_cell_angle_alpha 90.00
_cell_angle_beta 90.00
_cell_angle_gamma 90.00
_space_group_name_H-M_alt 'P 1'
_space_group_IT_number 1
loop_
_space_group_symop_operation_xyz
'x,y,z'
loop_
_atom_site_label
_atom_site_type_symbol
_atom_site_fract_x
_atom_site_fract_y
_atom_site_fract_z
Cl1 Cl 0.4107 0.2500 0.3318
Cl2 Cl 0.9107 0.7500 0.1682
Cl3 Cl 0.5893 0.7500 0.6682
Cl4 Cl 0.0893 0.2500 0.8318
Cl5 Cl 0.8491 0.2500 0.4072
Cl6 Cl 0.3491 0.7500 0.0928
Cl7 Cl 0.1509 0.7500 0.5928
Cl8 Cl 0.6509 0.2500 0.9072
Cl9 Cl 0.1638 0.0721 0.5929
Cl10 Cl 0.6638 0.9279 0.9071
Cl11 Cl 0.8362 0.5721 0.4071
Cl12 Cl 0.3362 0.4279 0.0929
Cl13 Cl 0.8362 0.9279 0.4071
Cl14 Cl 0.3362 0.0721 0.0929
Cl15 Cl 0.1638 0.4279 0.5929
Cl16 Cl 0.6638 0.5721 0.9071
Cl17 Cl 0.5945 0.0688 0.6768
Cl18 Cl 0.0945 0.9312 0.8232
Cl19 Cl 0.4055 0.5688 0.3232
Cl20 Cl 0.9055 0.4312 0.1768
Cl21 Cl 0.4055 0.9312 0.3232
Cl22 Cl 0.9055 0.0688 0.1768
Cl23 Cl 0.5945 0.4312 0.6768
Cl24 Cl 0.0945 0.5688 0.8232
N1 N 0.3755 0.2500 0.6447
N2 N 0.8755 0.7500 0.8553
N3 N 0.6245 0.7500 0.3553
N4 N 0.1245 0.2500 0.1447
N5 N 0.5171 0.1508 0.4990
N6 N 0.0171 0.8492 0.0010
N7 N 0.4829 0.6508 0.5010
N8 N 0.9829 0.3492 0.9990
N9 N 0.4829 0.8492 0.5010
N10 N 0.9829 0.1508 0.9990
N11 N 0.5171 0.3492 0.4990
N12 N 0.0171 0.6508 0.0010
P1 P 0.5608 0.2500 0.4486
P2 P 0.0608 0.7500 0.0514
P3 P 0.4392 0.7500 0.5514
P4 P 0.9392 0.2500 0.9486
P5 P 0.4204 0.1497 0.5961
P6 P 0.9204 0.8503 0.9039
P7 P 0.5796 0.6497 0.4039
P8 P 0.0796 0.3503 0.0961
P9 P 0.5796 0.8503 0.4039
P10 P 0.0796 0.1497 0.0961
P11 P 0.4204 0.3503 0.5961
P12 P 0.9204 0.6497 0.9039
# Magnetization ... 0.0 μB per cell



Version y
# PBE PNCl2, relaxed
data_PNCl2
_chemical_formula_sum 'P20 N20 Cl40'
_cell_length_a 6.6964
_cell_length_b 16.5354
_cell_length_c 20.3740
_cell_angle_alpha 90.00
_cell_angle_beta 90.00
_cell_angle_gamma 90.00
_space_group_name_H-M_alt 'P 1'
_space_group_IT_number 1
loop_
_space_group_symop_operation_xyz
'x,y,z'
loop_
_atom_site_label
_atom_site_type_symbol
_atom_site_fract_x
_atom_site_fract_y
_atom_site_fract_z
P1 P 0.6761 0.1361 0.1613
P2 P 0.5147 0.1179 0.6349
P3 P 0.1488 0.4162 0.5011
P4 P 0.6538 0.9948 0.7359
P5 P 0.0147 0.3821 0.3651
P6 P 0.3239 0.6361 0.3387
P7 P 0.1538 0.5052 0.2641
P8 P 0.1880 0.4195 0.9812
P9 P 0.8120 0.9195 0.5188
P10 P 0.6488 0.0838 0.4989
P11 P 0.8462 0.0052 0.2359
P12 P 0.3462 0.4948 0.7641
P13 P 0.3512 0.5838 0.0011
P14 P 0.8239 0.8639 0.6613
P15 P 0.9853 0.8821 0.1349
P16 P 0.4853 0.6179 0.8651
P17 P 0.1761 0.3639 0.8387
P18 P 0.6880 0.0805 0.0188
P19 P 0.8512 0.9162 0.9989
P20 P 0.3120 0.5805 0.4812
N1 N 0.2044 0.4095 0.9051
N2 N 0.5157 0.1129 0.5580
N3 N 0.2505 0.5913 0.2747
N4 N 0.7495 0.0913 0.2253
N5 N 0.9843 0.8871 0.0580
N6 N 0.7505 0.9087 0.7253
N7 N 0.8083 0.0087 0.9876
N8 N 0.2495 0.4087 0.7747
N9 N 0.1917 0.5087 0.5124
N10 N 0.3083 0.4913 0.0124
N11 N 0.9128 0.9589 0.1727
N12 N 0.5872 0.0411 0.6727
N13 N 0.0157 0.3871 0.4420
N14 N 0.4128 0.5411 0.8273
N15 N 0.6917 0.9913 0.4876
N16 N 0.4843 0.6129 0.9420
N17 N 0.2956 0.5905 0.4051
N18 N 0.7956 0.9095 0.5949
N19 N 0.7044 0.0905 0.0949
N20 N 0.0872 0.4589 0.3273
Cl1 Cl 0.6877 0.7545 0.6584
Cl2 Cl 0.6137 0.6674 0.3248
Cl3 Cl 0.2812 0.3189 0.0282
Cl4 Cl 0.1704 0.2832 0.3351
Cl5 Cl 0.3957 0.0736 0.9929
Cl6 Cl 0.4937 0.6213 0.0823
Cl7 Cl 0.6556 0.9376 0.2903
Cl8 Cl 0.2324 0.1461 0.6605
Cl9 Cl 0.1877 0.7455 0.3416
Cl10 Cl 0.8957 0.4264 0.0071
Cl11 Cl 0.1556 0.5624 0.7097
Cl12 Cl 0.3444 0.4376 0.2097
Cl13 Cl 0.4215 0.9799 0.7982
Cl14 Cl 0.5785 0.4799 0.7018
Cl15 Cl 0.8863 0.3326 0.8248
Cl16 Cl 0.8123 0.2455 0.1584
Cl17 Cl 0.3296 0.7168 0.8351
Cl18 Cl 0.2188 0.6811 0.5282
Cl19 Cl 0.0785 0.0201 0.2982
Cl20 Cl 0.2676 0.8539 0.1605
Cl21 Cl 0.8296 0.7832 0.1649
Cl22 Cl 0.9082 0.1475 0.4966
Cl23 Cl 0.6704 0.2168 0.6649
Cl24 Cl 0.7676 0.6461 0.8395
Cl25 Cl 0.6043 0.5736 0.5071
Cl26 Cl 0.0918 0.6475 0.0034
Cl27 Cl 0.9215 0.5201 0.2018
Cl28 Cl 0.9937 0.8787 0.9177
Cl29 Cl 0.3123 0.2545 0.8416
Cl30 Cl 0.1137 0.8326 0.6752
Cl31 Cl 0.3863 0.1674 0.1752
Cl32 Cl 0.7188 0.8189 0.4718
Cl33 Cl 0.7812 0.1811 0.9718
Cl34 Cl 0.5063 0.1213 0.4177
Cl35 Cl 0.5918 0.8525 0.9966
Cl36 Cl 0.8444 0.0624 0.7903
Cl37 Cl 0.1043 0.9264 0.4929
Cl38 Cl 0.0063 0.3787 0.5823
Cl39 Cl 0.7324 0.3539 0.3395
Cl40 Cl 0.4082 0.3525 0.5034
# Magnetization ... 0.0 μB per cell



Which of them is least stable? Easy: version w.



Version w
# PBE PN2Cl, relaxed
data_PN2Cl
_chemical_formula_sum 'P2 N4 Cl2'
_cell_length_a 5.2484
_cell_length_b 5.2484
_cell_length_c 5.2483
_cell_angle_alpha 60.00
_cell_angle_beta 60.00
_cell_angle_gamma 90.00
_space_group_name_H-M_alt 'P 1'
_space_group_IT_number 1
loop_
_space_group_symop_operation_xyz
'x,y,z'
loop_
_atom_site_label
_atom_site_type_symbol
_atom_site_fract_x
_atom_site_fract_y
_atom_site_fract_z
P1 P 0.5000 0.5000 0.0000
P2 P 0.2500 0.7500 0.5000
N1 N 0.3759 0.1250 0.2500
N2 N 0.3741 0.6250 0.2500
N3 N 0.3750 0.6241 0.7500
N4 N 0.8750 0.6259 0.7500
Cl1 Cl 0.0000 0.0000 0.0000
Cl2 Cl 0.7500 0.2500 0.5000
# Magnetization ... 2.8 μB per cell



Version x
# PBE PN2Cl, relaxed
data_PN2Cl
_chemical_formula_sum 'P1 N2 Cl1'
_cell_length_a 3.9375
_cell_length_b 3.9375
_cell_length_c 3.9375
_cell_angle_alpha 60.00
_cell_angle_beta 60.00
_cell_angle_gamma 60.00
_space_group_name_H-M_alt 'P 1'
_space_group_IT_number 1
loop_
_space_group_symop_operation_xyz
'x,y,z'
loop_
_atom_site_label
_atom_site_type_symbol
_atom_site_fract_x
_atom_site_fract_y
_atom_site_fract_z
P1 P 0.0000 0.0000 0.0000
N1 N 0.2500 0.2500 0.2500
N2 N 0.7500 0.7500 0.7500
Cl1 Cl 0.5000 0.5000 0.5000
# Magnetization ... 0.0 μB per cell



Version y
# PBE PN2Cl, relaxed
data_PN2Cl
_chemical_formula_sum 'P1 N2 Cl1'
_cell_length_a 6.1251
_cell_length_b 6.1251
_cell_length_c 6.1251
_cell_angle_alpha 27.07
_cell_angle_beta 27.07
_cell_angle_gamma 27.07
_space_group_name_H-M_alt 'P 1'
_space_group_IT_number 1
loop_
_space_group_symop_operation_xyz
'x,y,z'
loop_
_atom_site_label
_atom_site_type_symbol
_atom_site_fract_x
_atom_site_fract_y
_atom_site_fract_z
P1 P 0.5000 0.5000 0.5000
N1 N 0.8847 0.8847 0.8847
N2 N 0.1153 0.1153 0.1153
Cl1 Cl 0.0000 0.0000 0.0000
# Magnetization ... 0.0 μB per cell



Which of them is least stable? Easy: version x.